1.
Mg4HIr4 after structural relaxation. Source: Alexandria, functional PBE.

a b c (Å): 5.288 5.772 4.759
angles (deg): 89.81 109.95 105.97
Sites, in units of the cell vectors:
H 0.261 0.495 0.888
Mg 0.477 0.806 0.682
Ir 0.978 0.928 0.575
Ir 0.548 0.065 0.196
Mg 0.047 0.696 0.084
Ir 0.965 0.417 0.558
Mg 0.049 0.187 0.088
Mg 0.480 0.297 0.687
Ir 0.562 0.576 0.213

Computed properties:
The calculation puts the total energy at -5.340 eV per atom. The symmetry is No. 1. Its density of states at the Fermi level is 0.4293 states/eV/atom. As for the volume: 14.5 Å³ per atom. As for the polymorph energy (0 for the lowest one): 0 meV/atom.

***

2.
FeAsIr2 after structural relaxation. Source: Alexandria, functional PBE.

a b c (Å): 4.625 4.625 4.625
angles (deg): 84.77 84.77 35.86
Sites, in units of the cell vectors:
As 0.506 0.506 0.497
Ir 0.997 0.997 0.964
Ir 0.262 0.262 0.264
Fe 0.735 0.735 0.775

Computed properties:
The calculation puts the total energy at -7.564 eV per atom. The symmetry is No. 8. Its density of states at the Fermi level is 1.0330 states/eV/atom. As for the volume: 14.4 Å³ per atom. The calculation puts the formation energy at 0.144 eV/atom.

***

3.
AcRe2ClO8 after structural relaxation. Source: Alexandria, functional PBE.

a b c (Å): 7.074 7.074 7.078
angles (deg): 60.02 60.02 60.00
Sites, in units of the cell vectors:
O 0.948 0.351 0.350
O 0.649 0.649 0.053
Re 0.250 0.250 0.250
O 0.052 0.649 0.650
O 0.351 0.948 0.350
Re 0.750 0.750 0.750
Cl 0.000 0.000 0.000
O 0.649 0.649 0.650
O 0.351 0.351 0.350
Ac 0.500 0.500 0.500
O 0.649 0.052 0.650
O 0.351 0.351 0.947

Computed properties:
The calculation puts the total energy at -7.875 eV per atom. The symmetry is No. 225. Its density of states at the Fermi level is 0.1566 states/eV/atom. The raw formation energy comes out at -1999 meV/atom. As for the volume: 20.9 Å³ per atom.

***

4.
GeP2PtCl after structural relaxation. Source: Alexandria, functional PBE.

a b c (Å): 4.669 4.669 5.004
angles (deg): 90.00 90.00 90.00
Sites, in units of the cell vectors:
P 0.000 0.500 0.000
Ge 0.500 0.500 0.500
Cl 0.000 0.000 0.500
Pt 0.000 0.000 0.000
P 0.500 0.000 0.000

Computed properties:
The calculation puts the total energy at -4.075 eV per atom. The symmetry is No. 123. Its density of states at the Fermi level is 1.0834 states/eV/atom. The raw formation energy comes out at 590 meV/atom. As for the volume: 21.8 Å³ per atom. As for the polymorph energy (0 for the lowest one): 0 meV/atom.

***

5.
Ca2H6Au3 after structural relaxation. Source: Alexandria, functional PBE.

a b c (Å): 7.385 5.790 10.594
angles (deg): 67.35 69.60 50.37
Sites, in units of the cell vectors:
Au 0.910 0.082 0.259
H 0.918 0.184 0.088
Au 0.251 0.418 0.241
H 0.082 0.816 0.912
Ca 0.803 0.457 0.458
H 0.872 0.010 0.430
Au 0.469 0.750 0.250
H 0.565 0.763 0.083
H 0.590 0.263 0.583
H 0.128 0.990 0.570
Au 0.749 0.582 0.759
Ca 0.281 0.957 0.958
H 0.435 0.237 0.917
H 0.809 0.684 0.588
Ca 0.719 0.043 0.042
Au 0.090 0.918 0.741
Ca 0.197 0.543 0.542
H 0.313 0.490 0.070
Au 0.531 0.250 0.750
H 0.687 0.510 0.930
H 0.191 0.316 0.412
H 0.410 0.737 0.417

Computed properties:
The calculation puts the total energy at -3.365 eV per atom. The symmetry is No. 15. Its density of states at the Fermi level is 0.1448 states/eV/atom. As for the volume: 14.5 Å³ per atom.

***

6.
CaNbN2F after structural relaxation. Source: Alexandria, functional PBE.

a b c (Å): 4.362 4.362 3.941
angles (deg): 90.00 90.00 90.00
Sites, in units of the cell vectors:
N 0.500 0.000 0.000
Nb 0.500 0.500 0.500
F 0.000 0.000 0.500
N 0.000 0.500 0.000
Ca 0.000 0.000 0.000

Computed properties:
The calculation puts the total energy at -5.614 eV per atom. The symmetry is No. 123. Its density of states at the Fermi level is 0.9166 states/eV/atom. The raw formation energy comes out at 505 meV/atom. As for the volume: 15.0 Å³ per atom. As for the polymorph energy (0 for the lowest one): 1822 meV/atom.

***

7.
CuSeBr2F after structural relaxation. Source: Alexandria, functional PBE.

a b c (Å): 5.619 5.619 3.856
angles (deg): 90.00 90.00 90.00
Sites, in units of the cell vectors:
Br 0.500 0.000 0.000
Cu 0.500 0.500 0.500
F 0.000 0.000 0.000
Br 0.000 0.500 0.000
Se 0.000 0.000 0.500

Computed properties:
The calculation puts the total energy at -2.196 eV per atom. The symmetry is No. 123. Its density of states at the Fermi level is 1.1839 states/eV/atom. The raw formation energy comes out at 363 meV/atom. As for the volume: 24.3 Å³ per atom. As for the polymorph energy (0 for the lowest one): 158 meV/atom.

***

8.
Cd2N2Cl after structural relaxation. Source: Alexandria, functional PBE.

a b c (Å): 3.676 3.666 10.758
angles (deg): 120.86 133.17 59.90
Sites, in units of the cell vectors:
N 0.644 0.057 0.586
Cd 0.213 0.483 0.727
Cl 0.000 0.000 0.000
N 0.356 0.943 0.414
Cd 0.787 0.517 0.273

Computed properties:
The calculation puts the total energy at -3.940 eV per atom. The symmetry is No. 12. Its density of states at the Fermi level is 0.2495 states/eV/atom. The raw formation energy comes out at 126 meV/atom. As for the volume: 17.6 Å³ per atom.

***

9.
Pm2Zn2Cd3 after structural relaxation. Source: Alexandria, functional PBE.

a b c (Å): 4.557 5.712 7.009
angles (deg): 99.01 90.00 113.51
Sites, in units of the cell vectors:
Pm 0.377 0.754 0.658
Zn 0.087 0.174 0.653
Cd 0.305 0.611 0.141
Pm 0.623 0.246 0.342
Zn 0.913 0.826 0.347
Cd 0.000 0.000 0.000
Cd 0.695 0.389 0.859

Computed properties:
The calculation puts the total energy at -2.381 eV per atom. The symmetry is No. 12. Its density of states at the Fermi level is 0.7103 states/eV/atom. As for the volume: 23.6 Å³ per atom. As for the polymorph energy (0 for the lowest one): 36 meV/atom. The calculation puts the formation energy at -0.267 eV/atom.

***

10.
BaLiP2O after structural relaxation. Source: Alexandria, functional PBE.

a b c (Å): 4.165 4.165 5.671
angles (deg): 90.00 90.00 90.00
Sites, in units of the cell vectors:
O 0.000 0.000 0.500
Li 0.000 0.000 0.000
Ba 0.500 0.500 0.500
P 0.000 0.500 0.000
P 0.500 0.000 0.000

Computed properties:
The calculation puts the total energy at -4.157 eV per atom. The symmetry is No. 123. Its density of states at the Fermi level is 0.7748 states/eV/atom. The raw formation energy comes out at -234 meV/atom. As for the volume: 19.7 Å³ per atom. As for the polymorph energy (0 for the lowest one): 0 meV/atom.

***

11.
Cs3AlCl6 after structural relaxation. Source: Alexandria, functional PBE.

a b c (Å): 7.951 7.951 7.951
angles (deg): 60.00 60.00 60.00
Sites, in units of the cell vectors:
Cl 0.209 0.791 0.209
Cs 0.750 0.750 0.750
Cl 0.209 0.791 0.791
Cl 0.791 0.791 0.209
Cl 0.791 0.209 0.791
Al 0.000 0.000 0.000
Cs 0.250 0.250 0.250
Cl 0.791 0.209 0.209
Cs 0.500 0.500 0.500
Cl 0.209 0.209 0.791

Computed properties:
The calculation puts the total energy at -3.555 eV per atom. The symmetry is No. 225. Its density of states at the Fermi level is 0.0000 states/eV/atom. The raw formation energy comes out at -1817 meV/atom. As for the volume: 35.5 Å³ per atom.

***

12.
Li4MgPd4 after structural relaxation. Source: Alexandria, functional PBE.

a b c (Å): 4.104 6.064 6.064
angles (deg): 83.42 70.22 70.22
Sites, in units of the cell vectors:
Pd 0.326 0.674 0.674
Li 0.679 0.000 0.641
Li 0.321 0.000 0.359
Pd 0.674 0.326 0.326
Pd 0.000 0.674 0.326
Li 0.321 0.359 0.000
Li 0.679 0.641 0.000
Pd 0.000 0.326 0.674
Mg 0.000 0.000 0.000

Computed properties:
The calculation puts the total energy at -3.722 eV per atom. The symmetry is No. 139. Its density of states at the Fermi level is 0.2365 states/eV/atom. As for the volume: 14.8 Å³ per atom. The calculation puts the formation energy at -0.386 eV/atom.